This record from the Alexandria database describes a geometry-optimized CeGeHRh structure. The functional is PBE-GGA.

- Fermi-level density of states: 8.6 states/eV/cell
- Total magnetic moment: 0.132 μB/atom
- ρ: 8.4 g/cm³
- DFT total energy: -6.118 eV/atom

a b c (Å): 4.133 4.133 7.364
angles (deg): 90.00 90.00 90.00
Space group P4/nmm (No. 129, origin choice 2)
Unique sites:
Ce  0.250  0.250  0.163 [2 per cell]
Ge  0.250  0.250  0.693 [2 per cell]
H  0.250  0.750  0.000 [2 per cell]
Rh  0.250  0.750  0.500 [2 per cell]